# LiMn2W (SCAN, PBEsol geometry)
data_LiMn2W
_cell_length_a 2.533
_cell_length_b 4.014
_cell_length_c 4.825
_cell_angle_alpha 90.00
_cell_angle_beta 101.36
_cell_angle_gamma 90.00
_space_group_name_H-M_alt 'P 1 m 1'
_space_group_IT_number 6
_space_group_name_Hall 'P -2y'
loop_
_atom_site_label
_atom_site_fract_x
_atom_site_fract_y
_atom_site_fract_z
_atom_site_occupancy
Li1 0.000 0.000 0.000 1
Mn1 0.573 0.000 0.469 1
Mn2 0.811 0.500 0.243 1
W1 0.301 0.500 0.740 1
# DFT total energy	-26.8512	eV/atom
# density	10.38	g/cm³

***

# ZnTcGeSb2 (SCAN, PBEsol geometry)
data_ZnTcGeSb2
_cell_length_a 5.223
_cell_length_b 5.223
_cell_length_c 4.610
_cell_angle_alpha 90.00
_cell_angle_beta 90.00
_cell_angle_gamma 90.00
_space_group_name_H-M_alt 'P 4/m m m'
_space_group_IT_number 123
_space_group_name_Hall '-P 4 2'
loop_
_atom_site_label
_atom_site_fract_x
_atom_site_fract_y
_atom_site_fract_z
_atom_site_occupancy
Zn1 0.000 0.000 0.000 1
Tc1 0.500 0.500 0.000 1
Ge1 0.500 0.500 0.500 1
Sb1 0.000 0.500 0.500 1
# formation energy (no corrections)	1.17	eV/atom
# density	6.33	g/cm³

***

# TcMo2W (SCAN, PBEsol geometry)
data_TcMo2W
_cell_length_a 2.710
_cell_length_b 4.397
_cell_length_c 5.152
_cell_angle_alpha 90.00
_cell_angle_beta 100.45
_cell_angle_gamma 90.00
_space_group_name_H-M_alt 'P 1 2/m 1'
_space_group_IT_number 10
_space_group_name_Hall '-P 2y'
loop_
_atom_site_label
_atom_site_fract_x
_atom_site_fract_y
_atom_site_fract_z
_atom_site_occupancy
Tc1 0.000 0.000 0.000 1
Mo1 0.257 0.500 0.751 1
W1 0.500 0.000 0.500 1
# energy above the lowest structure with this stoichiometry	2.7	kJ per mole of atoms
# density	13.03	g/cm³

***

# HoBO3 (SCAN, PBEsol geometry)
data_HoBO3
_cell_length_a 11.224
_cell_length_b 6.474
_cell_length_c 8.779
_cell_angle_alpha 90.00
_cell_angle_beta 90.00
_cell_angle_gamma 90.00
_space_group_name_H-M_alt 'C m c m'
_space_group_IT_number 63
_space_group_name_Hall '-C 2c 2'
loop_
_atom_site_label
_atom_site_fract_x
_atom_site_fract_y
_atom_site_fract_z
_atom_site_occupancy
Ho1 0.000 0.000 0.000 1
Ho2 0.170 0.500 0.000 1
B1 0.000 0.423 0.250 1
B2 0.121 0.213 0.750 1
O1 0.000 0.115 0.750 1
O2 0.000 0.314 0.105 1
O3 0.110 0.445 0.750 1
O4 0.176 0.158 0.607 1
# formation energy (no corrections)	-3.43	eV/atom
# density	6.99	g/cm³

***

What is the density in the third record?
13.03 g/cm³

***

Look up the density of the second one.
6.33 g/cm³

***

Look up the density of the third one.
13.03 g/cm³

***

Which of these has the highest density?
TcMo2W